# 1
Density functional theory data (PBE) for SrAgHg3 after structural relaxation.

a b c (Å): 9.586 4.876 11.539
angles (deg): 90.00 90.00 90.00
Fractional coordinates of all 20 atoms:
Sr 0.217 0.250 0.006
Sr 0.283 0.750 0.506
Sr 0.717 0.250 0.494
Sr 0.783 0.750 0.994
Ag 0.111 0.250 0.351
Ag 0.389 0.750 0.851
Ag 0.611 0.250 0.149
Ag 0.889 0.750 0.649
Hg 0.066 0.250 0.603
Hg 0.090 0.750 0.834
Hg 0.139 0.750 0.197
Hg 0.361 0.250 0.697
Hg 0.410 0.250 0.334
Hg 0.434 0.750 0.103
Hg 0.566 0.250 0.897
Hg 0.590 0.750 0.666
Hg 0.639 0.750 0.303
Hg 0.861 0.250 0.803
Hg 0.910 0.250 0.166
Hg 0.934 0.750 0.397

Summary:
E: -1.372 eV/atom
Energy above the most stable polymorph in this dataset: 0 meV/atom
Energy of formation from the pure elements: -0.284 eV/atom
Density of states at the Fermi level: 0.421 states/eV/atom



# 2
Density functional theory data (PBE) for Sr3AgHg2 after structural relaxation.

a b c (Å): 8.984 8.984 3.923
angles (deg): 90.00 90.00 143.31
Fractional coordinates of all 6 atoms:
Sr 0.000 0.000 0.000
Sr 0.335 0.665 0.000
Sr 0.665 0.335 0.000
Ag 0.500 0.500 0.500
Hg 0.167 0.833 0.500
Hg 0.833 0.167 0.500

Summary:
E: -1.860 eV/atom
Energy of formation from the pure elements: -0.443 eV/atom
Density of states at the Fermi level: 0.691 states/eV/atom



# 3
Density functional theory data (PBE) for Sr6AgHg2 after structural relaxation.

a b c (Å): 11.160 9.039 7.687
angles (deg): 83.28 53.56 43.16
Fractional coordinates of all 9 atoms:
Sr 0.133 0.867 0.133
Sr 0.200 0.469 0.531
Sr 0.469 0.200 0.800
Sr 0.531 0.800 0.200
Sr 0.800 0.531 0.469
Sr 0.867 0.133 0.867
Ag 0.500 0.500 0.500
Hg 0.169 0.169 0.831
Hg 0.831 0.831 0.169

Summary:
E: -1.819 eV/atom
Energy of formation from the pure elements: -0.314 eV/atom
Density of states at the Fermi level: 0.885 states/eV/atom



# 4
Density functional theory data (PBE) for Sr3Ag3Hg8 after structural relaxation.

a b c (Å): 9.177 9.177 9.177
angles (deg): 148.31 112.97 76.04
Fractional coordinates of all 14 atoms:
Sr 0.000 0.000 0.000
Sr 0.291 0.291 0.000
Sr 0.709 0.709 0.000
Ag 0.348 0.500 0.848
Ag 0.500 0.000 0.500
Ag 0.652 0.500 0.152
Hg 0.005 0.649 0.356
Hg 0.161 0.864 0.297
Hg 0.293 0.649 0.644
Hg 0.433 0.136 0.297
Hg 0.567 0.864 0.703
Hg 0.707 0.351 0.356
Hg 0.839 0.136 0.703
Hg 0.995 0.351 0.644

Summary:
E: -1.458 eV/atom
Energy of formation from the pure elements: -0.314 eV/atom
Density of states at the Fermi level: 0.466 states/eV/atom



# 5
Density functional theory data (PBE) for SrAg2Hg2 after structural relaxation.

a b c (Å): 8.334 8.334 3.558
angles (deg): 90.00 90.00 90.00
Fractional coordinates of all 10 atoms:
Sr 0.000 0.000 0.000
Sr 0.500 0.500 0.000
Ag 0.172 0.328 0.500
Ag 0.328 0.828 0.500
Ag 0.672 0.172 0.500
Ag 0.828 0.672 0.500
Hg 0.126 0.626 0.000
Hg 0.374 0.126 0.000
Hg 0.626 0.874 0.000
Hg 0.874 0.374 0.000

Summary:
E: -1.709 eV/atom
Energy above the most stable polymorph in this dataset: 121 meV/atom
Energy of formation from the pure elements: -0.111 eV/atom
Density of states at the Fermi level: 0.295 states/eV/atom



# 6
Density functional theory data (PBE) for Sr3Ag3Hg2 after structural relaxation.

a b c (Å): 7.642 7.642 4.628
angles (deg): 90.00 90.00 120.00
Fractional coordinates of all 8 atoms:
Sr 0.000 0.359 0.000
Sr 0.359 0.000 0.000
Sr 0.641 0.641 0.000
Ag 0.000 0.773 0.500
Ag 0.227 0.227 0.500
Ag 0.773 0.000 0.500
Hg 0.333 0.667 0.500
Hg 0.667 0.333 0.500

Summary:
E: -2.115 eV/atom
Energy of formation from the pure elements: -0.340 eV/atom
Density of states at the Fermi level: 0.598 states/eV/atom



# 7
Density functional theory data (PBE) for Sr11Ag4Hg9 after structural relaxation.

a b c (Å): 13.960 13.960 4.127
angles (deg): 90.00 90.00 112.00
Fractional coordinates of all 24 atoms:
Sr 0.000 0.000 0.000
Sr 0.071 0.412 0.000
Sr 0.171 0.829 0.000
Sr 0.268 0.268 0.000
Sr 0.355 0.645 0.000
Sr 0.412 0.071 0.000
Sr 0.588 0.929 0.000
Sr 0.645 0.355 0.000
Sr 0.732 0.732 0.000
Sr 0.829 0.171 0.000
Sr 0.929 0.588 0.000
Ag 0.266 0.450 0.500
Ag 0.450 0.266 0.500
Ag 0.550 0.734 0.500
Ag 0.734 0.550 0.500
Hg 0.050 0.210 0.500
Hg 0.146 0.622 0.500
Hg 0.210 0.050 0.500
Hg 0.378 0.854 0.500
Hg 0.500 0.500 0.500
Hg 0.622 0.146 0.500
Hg 0.790 0.950 0.500
Hg 0.854 0.378 0.500
Hg 0.950 0.790 0.500

Summary:
E: -1.782 eV/atom
Energy of formation from the pure elements: -0.423 eV/atom
Density of states at the Fermi level: 0.632 states/eV/atom



# 8
Density functional theory data (PBE) for Sr2TbAgHg6 after structural relaxation.

a b c (Å): 7.883 7.883 7.883
angles (deg): 60.00 60.00 60.00
Fractional coordinates of all 10 atoms:
Sr 0.250 0.250 0.250
Sr 0.750 0.750 0.750
Tb 0.000 0.000 0.000
Ag 0.500 0.500 0.500
Hg 0.257 0.257 0.743
Hg 0.257 0.743 0.257
Hg 0.257 0.743 0.743
Hg 0.743 0.257 0.257
Hg 0.743 0.257 0.743
Hg 0.743 0.743 0.257

Summary:
E: -1.393 eV/atom
Energy of formation from the pure elements: -0.127 eV/atom
Density of states at the Fermi level: 0.741 states/eV/atom



# 9
Density functional theory data (PBE) for SrTlAg2Hg after structural relaxation.

a b c (Å): 5.362 5.362 6.280
angles (deg): 90.00 90.00 90.00
Fractional coordinates of all 5 atoms:
Sr 0.000 0.000 0.000
Tl 0.000 0.000 0.500
Ag 0.000 0.500 0.500
Ag 0.500 0.000 0.500
Hg 0.500 0.500 0.000

Summary:
E: -1.777 eV/atom
Energy of formation from the pure elements: 0.234 eV/atom
Density of states at the Fermi level: 0.540 states/eV/atom



# 10
Density functional theory data (PBE) for Sr3Tl2Ag2Hg4 after structural relaxation.

a b c (Å): 5.027 5.027 15.110
angles (deg): 90.00 90.00 120.00
Fractional coordinates of all 11 atoms:
Sr 0.000 0.000 0.000
Sr 0.000 0.000 0.258
Sr 0.000 0.000 0.742
Tl 0.333 0.667 0.567
Tl 0.667 0.333 0.433
Ag 0.333 0.667 0.136
Ag 0.667 0.333 0.864
Hg 0.333 0.667 0.361
Hg 0.333 0.667 0.872
Hg 0.667 0.333 0.128
Hg 0.667 0.333 0.639

Summary:
E: -1.826 eV/atom
Energy of formation from the pure elements: -0.309 eV/atom
Density of states at the Fermi level: 0.431 states/eV/atom



# 11
Density functional theory data (PBE) for SrTmAgHg after structural relaxation.

a b c (Å): 5.347 5.347 5.347
angles (deg): 60.00 60.00 60.00
Fractional coordinates of all 4 atoms:
Sr 0.000 0.000 0.000
Tm 0.500 0.500 0.500
Ag 0.750 0.750 0.750
Hg 0.250 0.250 0.250

Summary:
E: -2.637 eV/atom
Energy of formation from the pure elements: -0.310 eV/atom
Density of states at the Fermi level: 0.687 states/eV/atom



# 12
Density functional theory data (PBE) for Sr2ZnAgHg6 after structural relaxation.

a b c (Å): 6.679 6.701 6.743
angles (deg): 74.43 78.37 79.46
Fractional coordinates of all 10 atoms:
Sr 0.249 0.210 0.303
Sr 0.751 0.790 0.697
Zn 0.000 0.000 0.000
Ag 0.500 0.500 0.500
Hg 0.146 0.719 0.329
Hg 0.238 0.630 0.868
Hg 0.361 0.148 0.804
Hg 0.639 0.852 0.196
Hg 0.762 0.370 0.132
Hg 0.854 0.281 0.671

Summary:
E: -1.152 eV/atom
Energy of formation from the pure elements: -0.222 eV/atom
Density of states at the Fermi level: 0.314 states/eV/atom



# 13
Density functional theory data (PBE) for SrZnAgHg2 after structural relaxation.

a b c (Å): 5.171 5.171 5.066
angles (deg): 90.00 90.00 90.00
Fractional coordinates of all 5 atoms:
Sr 0.000 0.000 0.000
Zn 0.500 0.500 0.500
Ag 0.500 0.500 0.000
Hg 0.000 0.500 0.500
Hg 0.500 0.000 0.500

Summary:
E: -1.404 eV/atom
Energy of formation from the pure elements: -0.122 eV/atom
Density of states at the Fermi level: 0.537 states/eV/atom



# 14
Density functional theory data (PBE) for Sr3ZnAg6Hg2 after structural relaxation.

a b c (Å): 6.111 6.111 9.232
angles (deg): 90.00 90.00 120.00
Fractional coordinates of all 12 atoms:
Sr 0.000 0.000 0.000
Sr 0.333 0.667 0.605
Sr 0.667 0.333 0.395
Zn 0.000 0.000 0.500
Ag 0.175 0.350 0.283
Ag 0.175 0.825 0.283
Ag 0.350 0.175 0.717
Ag 0.650 0.825 0.283
Ag 0.825 0.175 0.717
Ag 0.825 0.650 0.717
Hg 0.333 0.667 0.989
Hg 0.667 0.333 0.011

Summary:
E: -2.187 eV/atom
Energy of formation from the pure elements: -0.184 eV/atom
Density of states at the Fermi level: 0.474 states/eV/atom



# 15
Density functional theory data (PBE) for SrZnAg2Hg after structural relaxation.

a b c (Å): 6.552 6.552 6.552
angles (deg): 139.05 138.72 59.55
Fractional coordinates of all 5 atoms:
Sr 0.000 0.000 0.000
Zn 0.381 0.381 0.000
Ag 0.605 0.605 0.000
Ag 0.758 0.258 0.500
Hg 0.253 0.753 0.500

Summary:
E: -2.014 eV/atom
Energy above the most stable polymorph in this dataset: 0 meV/atom
Energy of formation from the pure elements: -0.222 eV/atom
Density of states at the Fermi level: 0.329 states/eV/atom



# 16
Density functional theory data (PBE) for SrZnAgHg after structural relaxation.

a b c (Å): 5.161 5.161 5.161
angles (deg): 60.00 60.00 60.00
Fractional coordinates of all 4 atoms:
Sr 0.000 0.000 0.000
Zn 0.750 0.750 0.750
Ag 0.500 0.500 0.500
Hg 0.250 0.250 0.250

Summary:
E: -1.706 eV/atom
Energy of formation from the pure elements: -0.179 eV/atom
Density of states at the Fermi level: 0.751 states/eV/atom



# 17
Density functional theory data (PBE) for SrZnAg2Hg after structural relaxation.

a b c (Å): 5.046 5.046 5.083
angles (deg): 90.00 90.00 90.00
Fractional coordinates of all 5 atoms:
Sr 0.000 0.000 0.000
Zn 0.500 0.500 0.500
Ag 0.000 0.500 0.500
Ag 0.500 0.000 0.500
Hg 0.500 0.500 0.000

Summary:
E: -1.870 eV/atom
Energy above the most stable polymorph in this dataset: 144 meV/atom
Energy of formation from the pure elements: -0.078 eV/atom
Density of states at the Fermi level: 0.512 states/eV/atom



# 18
Density functional theory data (PBE) for TaAg3Hg after structural relaxation.

a b c (Å): 5.237 5.237 5.237
angles (deg): 90.00 90.00 90.00
Fractional coordinates of all 5 atoms:
Ta 0.000 0.000 0.000
Ag 0.000 0.000 0.500
Ag 0.000 0.500 0.000
Ag 0.500 0.000 0.000
Hg 0.500 0.500 0.500

Summary:
E: -2.750 eV/atom
Energy above the most stable polymorph in this dataset: 0 meV/atom
Energy of formation from the pure elements: 1.391 eV/atom
Density of states at the Fermi level: 0.857 states/eV/atom



# 19
Density functional theory data (PBE) for TaAg2Hg after structural relaxation.

a b c (Å): 2.872 4.285 6.103
angles (deg): 90.00 90.00 90.00
Fractional coordinates of all 4 atoms:
Ta 0.000 0.000 0.000
Ag 0.500 0.500 0.236
Ag 0.500 0.500 0.764
Hg 0.000 0.000 0.500

Summary:
E: -4.100 eV/atom
Energy of formation from the pure elements: 0.364 eV/atom
Density of states at the Fermi level: 0.553 states/eV/atom



# 20
Density functional theory data (PBE) for TaAg2Hg after structural relaxation.

a b c (Å): 2.893 5.116 5.141
angles (deg): 90.00 90.00 90.00
Fractional coordinates of all 4 atoms:
Ta 0.000 0.000 0.000
Ag 0.000 0.500 0.500
Ag 0.500 0.000 0.500
Hg 0.500 0.500 0.000

Summary:
E: -4.056 eV/atom
Energy of formation from the pure elements: 0.408 eV/atom
Density of states at the Fermi level: 0.692 states/eV/atom